[1]
Below is a geometry-optimized TmCuPbS3 structure, with properties calculated at the PBE-GGA level.

Computed properties:
The calculation puts the total energy at -122.5 eV/cell. For the size of the total moment, the calculation gives 0.003 μB per cell. For the calculated density, the calculation gives 7.2 g/cm3.

Cell lengths 10.8789, 4.0436, 11.2814 Å; angles 90.00, 90.00, 90.00 degrees
Last column: nearest neighbours and their distance in Å.
Element x y z (fractional)
Tm 0.0149 0.2500 0.1808  7 S 2.71-3.02
Tm 0.4851 0.7500 0.6808  7 S 2.71-3.02
Tm 0.5149 0.2500 0.3192  7 S 2.71-3.02
Tm 0.9851 0.7500 0.8192  7 S 2.71-3.02
Cu 0.2463 0.7500 0.2975  4 S 2.32-2.35
Cu 0.2537 0.2500 0.7975  4 S 2.32-2.35
Cu 0.7463 0.7500 0.2025  4 S 2.32-2.35
Cu 0.7537 0.2500 0.7025  4 S 2.32-2.35
Pb 0.1809 0.2500 0.5055  7 S 2.91-3.24, 2 Cu 3.18
Pb 0.3191 0.7500 0.0055  7 S 2.91-3.24, 2 Cu 3.18
Pb 0.6809 0.2500 0.9945  7 S 2.91-3.24, 2 Cu 3.18
Pb 0.8191 0.7500 0.4945  7 S 2.91-3.24, 2 Cu 3.18
S 0.0400 0.7500 0.3494  1 Cu 2.32
S 0.0978 0.2500 0.9372  1 Cu 2.32
S 0.2296 0.7500 0.6931  2 Cu 2.35
S 0.2705 0.2500 0.1931  2 Cu 2.35
S 0.4022 0.7500 0.4372  1 Cu 2.32
S 0.4600 0.2500 0.8494  1 Cu 2.32
S 0.5400 0.7500 0.1506  1 Cu 2.32
S 0.5978 0.2500 0.5628  1 Cu 2.32
S 0.7296 0.7500 0.8069  2 Cu 2.35
S 0.7704 0.2500 0.3069  2 Cu 2.35
S 0.9022 0.7500 0.0628  1 Cu 2.32
S 0.9600 0.2500 0.6506  1 Cu 2.32

[2]
Below is a geometry-optimized ScAlGePt structure, with properties calculated at the PBE-GGA level.

Computed properties:
The calculation puts the total energy at -96.8 eV/cell. For the size of the total moment, the calculation gives 0.000 μB per cell. For the calculated density, the calculation gives 8.2 g/cm3.

Cell lengths 4.2279, 9.8613, 6.5967 Å; angles 90.00, 90.00, 90.00 degrees
Last column: nearest neighbours and their distance in Å.
Element x y z (fractional)
Sc 0.0000 0.0775 0.0000  3 Pt 2.80-3.00, 2 Ge 2.90, 3 Al 2.96-3.12
Sc 0.0000 0.9225 0.5000  3 Pt 2.80-3.00, 2 Ge 2.90, 3 Al 2.96-3.12
Sc 0.5000 0.4225 0.5000  3 Pt 2.80-3.00, 2 Ge 2.90, 3 Al 2.96-3.12
Sc 0.5000 0.5775 0.0000  3 Pt 2.80-3.00, 2 Ge 2.90, 3 Al 2.96-3.12
Al 0.0000 0.3645 0.8016  3 Pt 2.54-2.57, 2 Ge 2.60-2.67
Al 0.0000 0.6355 0.3016  3 Pt 2.54-2.57, 2 Ge 2.60-2.67
Al 0.5000 0.1355 0.3016  3 Pt 2.54-2.57, 2 Ge 2.60-2.67
Al 0.5000 0.8645 0.8016  3 Pt 2.54-2.57, 2 Ge 2.60-2.67
Ge 0.0000 0.3800 0.2056  3 Pt 2.57-2.66, 2 Al 2.60-2.67
Ge 0.0000 0.6200 0.7056  3 Pt 2.57-2.66, 2 Al 2.60-2.67
Ge 0.5000 0.1200 0.7056  3 Pt 2.57-2.66, 2 Al 2.60-2.67
Ge 0.5000 0.8800 0.2056  3 Pt 2.57-2.66, 2 Al 2.60-2.67
Pt 0.0000 0.2067 0.4966  3 Al 2.54-2.57, 3 Ge 2.57-2.66, 1 Sc 2.80
Pt 0.0000 0.7933 0.9966  3 Al 2.54-2.57, 3 Ge 2.57-2.66, 1 Sc 2.80
Pt 0.5000 0.2933 0.9966  3 Al 2.54-2.57, 3 Ge 2.57-2.66, 1 Sc 2.80
Pt 0.5000 0.7067 0.4966  3 Al 2.54-2.57, 3 Ge 2.57-2.66, 1 Sc 2.80

[3]
Below is a geometry-optimized CsLaPa structure, with properties calculated at the PBE-GGA level.

Computed properties:
The calculation puts the total energy at -40.4 eV/cell. For the size of the total moment, the calculation gives 7.272 μB per cell. For the calculated density, the calculation gives 6.9 g/cm3.

Cell lengths 7.8334, 7.8334, 7.8334 Å; angles 90.00, 90.00, 90.00 degrees
Last column: nearest neighbours and their distance in Å.
Element x y z (fractional)
Cs 0.0000 0.0000 0.0000  4 La 3.39
Cs 0.0000 0.5000 0.5000  4 La 3.39
Cs 0.5000 0.0000 0.5000  4 La 3.39
Cs 0.5000 0.5000 0.0000  4 La 3.39
La 0.2500 0.2500 0.7500  4 Pa 3.39, 4 Cs 3.39
La 0.2500 0.7500 0.2500  4 Pa 3.39, 4 Cs 3.39
La 0.7500 0.2500 0.2500  4 Pa 3.39, 4 Cs 3.39
La 0.7500 0.7500 0.7500  4 Pa 3.39, 4 Cs 3.39
Pa 0.0000 0.0000 0.5000  4 La 3.39
Pa 0.0000 0.5000 0.0000  4 La 3.39
Pa 0.5000 0.0000 0.0000  4 La 3.39
Pa 0.5000 0.5000 0.5000  4 La 3.39

[4]
Below is a geometry-optimized SmC2 structure, with properties calculated at the PBE-GGA level.

Computed properties:
The calculation puts the total energy at -28.0 eV/cell. For the size of the total moment, the calculation gives 6.012 μB per cell. For the calculated density, the calculation gives 1.6 g/cm3.

Cell lengths 7.9529, 7.9529, 7.9529 Å; angles 60.00, 60.00, 60.00 degrees
Last column: nearest neighbours and their distance in Å.
Element x y z (fractional)
Sm 0.1250 0.1250 0.1250  4 C 2.44
Sm 0.8750 0.8750 0.8750  4 C 2.44
C 0.0000 0.0000 0.0000  2 Sm 2.44
C 0.0000 0.0000 0.5000  2 Sm 2.44
C 0.0000 0.5000 0.0000  2 Sm 2.44
C 0.5000 0.0000 0.0000  2 Sm 2.44